Entry from Alexandria via LeMat-Bulk: crystalline AcVPbO5 at its relaxed geometry (PBE+U).

Symmetry: C2/c, No. 15
Energy (Ry/atom): -0.5319

Cell: 6.386 6.386 8.495 Å, 102.10 102.10 109.38°
Positions (direct):
O (0.110, 0.890, 0.250)
O (0.338, 0.916, 0.656)
O (0.084, 0.662, 0.844)
Pb (0.684, 0.316, 0.750)
O (0.567, 0.749, 0.903)
O (0.251, 0.433, 0.597)
O (0.662, 0.084, 0.344)
O (0.433, 0.251, 0.097)
Pb (0.316, 0.684, 0.250)
Ac (0.000, 0.000, 0.000)
Ac (0.000, 0.000, 0.500)
O (0.890, 0.110, 0.750)
O (0.749, 0.567, 0.403)
V (0.688, 0.312, 0.250)
O (0.916, 0.338, 0.156)
V (0.312, 0.688, 0.750)